[1]
The following is a DFT calculation (PBE) of crystalline KRePt at its relaxed geometry.

Cell lengths 5.8927, 5.8927, 9.5891 Å; angles 90.00, 90.00, 120.00 degrees
Space group P6_3/mmc (No. 194)
Symmetry-distinct sites (fractional):
K 0.3333 0.6667 0.2500
Re 0.0000 0.0000 0.2500
Pt 0.0000 0.0000 0.0000

raw total energy	-4.6729	eV per atom
energy relative to the lowest polymorph listed for this composition	1.6280	eV/atom
M_tot	6.6	Bohr magnetons per cell
ΔE_f	1856	meV/atom



[2]
The following is a DFT calculation (PBE) of crystalline Ac4IrPbN at its relaxed geometry.

Cell lengths 7.166, 7.365, 9.440 Å; angles 90.00, 108.77, 90.00 degrees
Space group P2_1/m (No. 11)
Symmetry-distinct sites (fractional):
Ac 0.011 0.004 0.219
Ac 0.423 0.750 0.652
Ac 0.443 0.750 0.068
Ir 0.232 0.250 0.054
Pb 0.244 0.250 0.562
N 0.218 0.750 0.813

raw total energy	-6.0278	eV per atom
raw formation energy	-0.6952	eV/atom
M_tot	0.0	Bohr magnetons per cell



[3]
The following is a DFT calculation (PBE) of crystalline Re2SiTe at its relaxed geometry.

Cell lengths 6.455, 6.455, 6.455 Å; angles 90.00, 90.00, 90.00 degrees
Space group F-43m (No. 216)
Symmetry-distinct sites (fractional):
Re 0.000 0.000 0.000
Re 0.250 0.250 0.250
Si 0.000 0.000 0.500
Te 0.250 0.250 0.750

raw total energy	-7.3872	eV per atom
energy relative to the lowest polymorph listed for this composition	0.6753	eV/atom
raw formation energy	0.9780	eV/atom
M_tot	0.0	Bohr magnetons per cell



[4]
The following is a DFT calculation (PBE) of crystalline Na2PmAlO4 at its relaxed geometry.

Cell lengths 5.631, 3.287, 5.848 Å; angles 90.00, 109.55, 90.00 degrees
Space group P2/m (No. 10)
Symmetry-distinct sites (fractional):
Na 0.000 0.000 0.000
Na 0.500 0.500 0.000
Pm 0.000 0.500 0.500
Al 0.500 0.000 0.500
O 0.286 0.000 0.698
O 0.290 0.500 0.295

raw total energy	-6.2625	eV per atom
raw formation energy	-2.3920	eV/atom
M_tot	0.0	Bohr magnetons per cell